{"formula": "CrBP3", "functional": "PBE", "state": "relaxed", "delta_e_f_ev_per_atom": 1.047, "e_above_lowest_polymorph_mev_per_atom": 0.0, "lattice_angstrom": [[4.0176, 0.0000, 0.0000], [0.0000, 4.0176, 0.0000], [0.0000, 0.0000, 4.0176]], "species": ["B", "P", "Cr", "P", "P"], "frac_coords": [[0.0000, 0.0000, 0.0000], [0.5000, 0.0000, 0.0000], [0.5000, 0.5000, 0.5000], [0.0000, 0.0000, 0.5000], [0.0000, 0.5000, 0.0000]]}

---

{"formula": "MgSc2", "functional": "PBE", "state": "relaxed", "delta_e_f_ev_per_atom": 0.154, "lattice_angstrom": [[-4.2364, -8.8762, 11.5167], [-5.2482, -4.9772, 13.3061], [2.7139, 6.7908, -13.2623]], "species": ["Sc", "Sc", "Mg", "Mg", "Sc", "Sc"], "frac_coords": [[0.5794, 0.5794, 0.0000], [0.4206, 0.4206, 0.0000], [0.0000, 0.0000, 0.0000], [0.7500, 0.2500, 0.5000], [0.1706, 0.6706, 0.5000], [0.3294, 0.8294, 0.5000]]}

---

{"formula": "Rb5TePdO2", "functional": "PBE", "state": "relaxed", "raw_formation_energy_ev_per_atom": -0.9520, "lattice_angstrom": [[5.7280, 0.0000, 0.0000], [0.0000, 5.7280, 0.0000], [0.0000, 0.0000, 9.5839]], "species": ["Rb", "Rb", "Rb", "O", "O", "Rb", "Pd", "Rb", "Te"], "frac_coords": [[0.0000, 0.5000, 0.2306], [0.0000, 0.5000, 0.7694], [0.5000, 0.0000, 0.7694], [0.0000, 0.0000, 0.7951], [0.0000, 0.0000, 0.2049], [0.5000, 0.0000, 0.2306], [0.0000, 0.0000, 0.0000], [0.0000, 0.0000, 0.5000], [0.5000, 0.5000, 0.5000]]}

---

{"formula": "Pr3SiBiCl", "functional": "PBE", "state": "relaxed", "raw_formation_energy_ev_per_atom": -0.9304, "lattice_angstrom": [[4.5180, 0.0000, 0.0000], [0.0000, 8.8054, 0.1160], [0.0000, -2.2333, 9.4754]], "species": ["Pr", "Pr", "Cl", "Si", "Cl", "Pr", "Bi", "Pr", "Pr", "Pr", "Bi", "Si"], "frac_coords": [[0.7500, 0.8861, 0.1354], [0.7500, 0.4270, 0.1532], [0.7500, 0.9057, 0.4235], [0.7500, 0.3395, 0.8413], [0.2500, 0.0943, 0.5765], [0.2500, 0.5730, 0.8468], [0.2500, 0.1816, 0.2258], [0.7500, 0.2651, 0.5246], [0.2500, 0.1139, 0.8646], [0.2500, 0.7349, 0.4754], [0.7500, 0.8184, 0.7742], [0.2500, 0.6605, 0.1587]]}

---

{"formula": "Er12Ni6Au", "functional": "PBE", "state": "relaxed", "delta_e_f_ev_per_atom": -0.393, "e_above_lowest_polymorph_mev_per_atom": 0.0, "lattice_angstrom": [[-6.8481, -1.9943, -4.1477], [3.5160, -6.8520, 2.9606], [-1.9367, 5.0205, 6.2547]], "species": ["Er", "Er", "Er", "Er", "Ni", "Ni", "Er", "Er", "Er", "Au", "Er", "Er", "Er", "Ni", "Er", "Ni", "Ni", "Ni", "Er"], "frac_coords": [[0.8856, 0.1855, 0.7001], [0.7001, 0.5147, 0.8145], [0.2999, 0.1144, 0.8145], [0.8145, 0.7001, 0.5147], [0.5000, 0.1256, 0.6256], [0.8744, 0.3744, 0.5000], [0.4853, 0.1855, 0.2999], [0.5147, 0.8145, 0.7001], [0.7001, 0.8856, 0.1855], [0.0000, 0.0000, 0.0000], [0.1144, 0.8145, 0.2999], [0.1855, 0.7001, 0.8856], [0.8145, 0.2999, 0.1144], [0.6256, 0.5000, 0.1256], [0.1855, 0.2999, 0.4853], [0.1256, 0.6256, 0.5000], [0.5000, 0.8744, 0.3744], [0.3744, 0.5000, 0.8744], [0.2999, 0.4853, 0.1855]]}

---

{"formula": "KTeNO2", "functional": "PBE", "state": "relaxed", "raw_formation_energy_ev_per_atom": 1.7352, "lattice_angstrom": [[-1.6629, 3.9334, 0.2593], [-2.1483, -1.1403, 3.5197], [3.4327, 1.2857, 2.5118]], "species": ["Te", "O", "O", "K", "N"], "frac_coords": [[0.5000, 0.5000, 0.5000], [0.0000, 0.5000, 0.0000], [0.5000, 0.0000, 0.0000], [0.0000, 0.0000, 0.0000], [0.0000, 0.0000, 0.5000]]}

---

{"formula": "CrWCl2", "functional": "PBE", "state": "relaxed", "raw_formation_energy_ev_per_atom": 0.7006, "e_above_lowest_polymorph_mev_per_atom": 862.8, "lattice_angstrom": [[1.7110, 0.0000, 8.2092], [-0.8555, 1.4817, 8.2092], [-0.8555, -1.4817, 8.2092]], "species": ["Cl", "Cl", "W", "Cr"], "frac_coords": [[0.9094, 0.9094, 0.9094], [0.0906, 0.0906, 0.0906], [0.5000, 0.5000, 0.5000], [0.0000, 0.0000, 0.0000]]}

---

{"formula": "PrCoIr", "functional": "PBE", "state": "relaxed", "delta_e_f_ev_per_atom": -0.058, "lattice_angstrom": [[5.8008, 0.0000, 0.0000], [-2.9004, 8.9765, 1.2261], [0.0000, -1.3075, 6.9630]], "species": ["Ir", "Co", "Ir", "Pr", "Co", "Ir", "Co", "Ir", "Co", "Pr", "Ir", "Co", "Co", "Pr", "Pr", "Pr", "Ir", "Pr"], "frac_coords": [[0.8092, 0.2094, 0.9811], [0.3713, 0.6234, 0.2334], [0.5000, 0.5000, 0.5000], [0.5687, 0.0000, 0.2500], [0.7479, 0.3766, 0.2666], [0.5998, 0.7906, 0.5189], [0.6287, 0.3766, 0.7666], [0.0000, 0.5000, 0.0000], [0.2521, 0.6234, 0.7334], [0.3087, 0.3077, 0.0948], [0.4002, 0.2094, 0.4811], [0.0000, 0.0000, 0.5000], [0.0000, 0.0000, 0.0000], [0.4313, 0.0000, 0.7500], [0.6913, 0.6923, 0.9052], [0.0010, 0.6923, 0.4052], [0.1908, 0.7906, 0.0189], [0.9990, 0.3077, 0.5948]]}

---

| no. | E_tot (eV per cell) | spin magnetization (μB/cell) |
| --- | --- | --- |
| 1 | -27.30 | 0.091 |
| 2 | -27.59 | 2.139 |
| 3 | -31.66 | 1.007 |
| 4 | -62.14 | 1.614 |
| 5 | -100.19 | 0.000 |
| 6 | -13.80 | 0.000 |
| 7 | -23.47 | 0.000 |
| 8 | -125.53 | 8.794 |